# MgCo2PtF (PBE with a Hubbard U, relaxed)
data_MgCo2PtF
_cell_length_a 3.928
_cell_length_b 3.928
_cell_length_c 5.088
_cell_angle_alpha 90.00
_cell_angle_beta 90.00
_cell_angle_gamma 90.00
_space_group_name_H-M_alt 'P 1'
_space_group_IT_number 1
_space_group_name_Hall 'P 1'
loop_
_atom_site_label
_atom_site_type_symbol
_atom_site_fract_x
_atom_site_fract_y
_atom_site_fract_z
Mg1 Mg 0.000 0.000 0.000
Co1 Co 0.000 0.500 0.500
Co2 Co 0.500 0.000 0.500
Pt1 Pt 0.500 0.500 0.000
F1 F 0.500 0.500 0.500
# excess energy over the best structure of this formula in the dataset = 0.000 eV/atom
# ρ = 7.54 g cm⁻³
# crystal system = tetragonal